Computed, not measured: crystalline La2Ga4Ir5 at its relaxed geometry at the PBE-GGA level of DFT.

Cell and atoms, written as POSCAR:
```
La2Ga4Ir5
1.0
-5.2355 0.4305 2.3512
-4.6286 -0.9757 -3.0841
-2.3572 -7.0725 3.0902
La Ga Ir
2 4 5
Cartesian
-5.1710 -1.3713 2.8246
-2.4216 -5.2707 2.6168
-5.6795 -5.3375 2.4186
-6.5418 -2.2802 -0.0613
-3.1867 -2.0587 0.3251
-9.0346 -5.5589 2.0322
-2.6177 0.2153 1.1756
-2.3143 -0.4878 -1.5420
-4.9320 -0.2726 -0.3665
-4.8018 -3.9165 0.5909
-7.4195 -3.7012 1.7664
```

Space-group type: Fmmm (69)
Size of the total moment (Bohr magnetons per cell): 0.0
Crystal system: orthorhombic
Total DFT energy (no corrections) (eV per atom): -6.692
Energy relative to the elements (eV/atom): -0.668

***

Computed, not measured: crystalline La2Ga6Ir at its relaxed geometry at the PBE-GGA level of DFT.

Cell and atoms, written as POSCAR:
```
La2Ga6Ir
1.0
4.5171 0.0000 0.6181
0.0000 7.0603 -0.0001
-0.7735 -3.5302 5.6537
La Ga Ir
2 6 1
Cartesian
1.8056 3.5298 3.6196
1.9380 0.0003 2.6521
-0.2048 2.1273 1.4973
3.9491 -1.4043 4.7693
3.9485 1.4028 4.7744
1.4853 -1.4255 5.9609
-0.2055 4.9344 1.5024
2.2583 4.9556 0.3108
0.0000 0.0000 0.0000
```

Space-group type: Cmmm (65)
Size of the total moment (Bohr magnetons per cell): 0.0
Crystal system: orthorhombic
Total DFT energy (no corrections) (eV per atom): -4.618
Energy relative to the elements (eV/atom): -0.521

***

Computed, not measured: crystalline La2Ga8Ir at its relaxed geometry at the PBE-GGA level of DFT.

Cell and atoms, written as POSCAR:
```
La2Ga8Ir
1.0
-2.0814 -3.9070 0.4014
0.3405 -0.6321 -4.3866
10.1893 -5.2691 1.5503
Ir Ga La
1 8 2
Cartesian
0.0000 0.0000 0.0000
5.2649 -2.9506 -1.4182
4.0539 -4.5880 0.9758
2.1868 -3.8505 -1.5275
6.2617 -5.9577 -0.9075
1.3452 -0.9236 -2.0146
0.1342 -2.5611 0.3794
9.1846 -4.9775 -0.8218
7.9736 -6.6150 1.5722
3.0883 -1.5970 0.4699
7.1010 -3.6721 1.0804
```

Space-group type: P4/mmm (123)
Size of the total moment (Bohr magnetons per cell): 0.0
Crystal system: tetragonal
Total DFT energy (no corrections) (eV per atom): -4.434
Energy relative to the elements (eV/atom): -0.532

***

Computed, not measured: crystalline La6Ga2Ir at its relaxed geometry at the PBE-GGA level of DFT.

Cell and atoms, written as POSCAR:
```
La6Ga2Ir
1.0
-2.5796 2.2060 -2.9984
6.1128 -0.4281 -5.5740
-5.7633 -5.9194 0.6032
La Ga Ir
6 2 1
Cartesian
-1.1489 -1.4556 -3.5028
-3.4915 -5.0486 -4.1310
1.4631 -2.7576 -6.7081
0.2662 -4.8347 -3.7861
-4.2077 -5.9795 -0.7793
4.6409 -1.8880 -5.3818
2.1277 -2.2661 -3.4978
-1.7787 -4.0724 -1.4659
-1.2829 0.9774 -1.5975
```

Space-group type: Amm2 (38)
Size of the total moment (Bohr magnetons per cell): 0.0
Crystal system: orthorhombic
Total DFT energy (no corrections) (eV per atom): -5.417
Energy relative to the elements (eV/atom): -0.475
Relative energy among the computed polymorphs (meV per atom): 0

***

| no. | D(E_F) (states/eV/atom) |
| --- | --- |
| 1 | 0.492 |
| 2 | 0.438 |
| 3 | 0.478 |
| 4 | 1.018 |